Crystalline HgN2O2 at its relaxed geometry, computed with PBE.

E_form (uncorrected) (eV per atom): 2.52
Space group: P4/mmm
D(E_F) (states/eV per atom): 0.93
Energy relative to the lowest polymorph listed for this composition (meV per atom): 878.3

Cell: 4.3522 4.3522 4.4175 Å, 90.00 90.00 90.00°
Last column: nearest neighbours and their distance in Å.
Sites, in units of the cell vectors:
1 Hg 0.0000 0.0000 0.0000  4 O 2.18, 2 N 2.21
2 N 0.0000 0.0000 0.5000  2 Hg 2.21
3 N 0.5000 0.5000 0.5000  4 N 3.08, 8 O 3.10
4 O 0.0000 0.5000 0.0000  2 Hg 2.18
5 O 0.5000 0.0000 0.0000  2 Hg 2.18

Crystalline Hg2NO at its relaxed geometry, computed with PBE.

E_form (uncorrected) (eV per atom): 0.70
Space group: I-42d
D(E_F) (states/eV per atom): 0.67
Energy relative to the lowest polymorph listed for this composition (meV per atom): 0.0

Cell: 6.3810 6.3810 6.3810 Å, 130.85 130.85 72.05°
Last column: nearest neighbours and their distance in Å.
Sites, in units of the cell vectors:
1 Hg 0.1094 0.6250 0.9844  2 N 2.23, 2 O 2.33
2 Hg 0.3750 0.3594 0.4844  2 N 2.23, 2 O 2.33
3 Hg 0.6406 0.1250 0.0156  2 N 2.23, 2 O 2.33
4 Hg 0.8750 0.8906 0.5156  2 N 2.23, 2 O 2.33
5 N 0.0000 0.0000 0.0000  4 Hg 2.23
6 N 0.7500 0.2500 0.5000  4 Hg 2.23
7 O 0.2500 0.7500 0.5000  4 Hg 2.33
8 O 0.5000 0.5000 0.0000  4 Hg 2.33

Crystalline HgN2O2 at its relaxed geometry, computed with PBE.

E_form (uncorrected) (eV per atom): 2.19
Space group: P4/mmm
D(E_F) (states/eV per atom): 0.24
Energy relative to the lowest polymorph listed for this composition (meV per atom): 547.7

Cell: 3.8218 3.8218 3.7339 Å, 90.00 90.00 90.00°
Last column: nearest neighbours and their distance in Å.
Sites, in units of the cell vectors:
1 Hg 0.0000 0.0000 0.0000  8 N 2.67, 4 O 2.70
2 N 0.0000 0.5000 0.5000  2 O 1.91
3 N 0.5000 0.0000 0.5000  2 O 1.91
4 O 0.5000 0.5000 0.0000  2 O 1.87
5 O 0.5000 0.5000 0.5000  2 O 1.87, 4 N 1.91

Crystalline HgN2O2 at its relaxed geometry, computed with PBE.

E_form (uncorrected) (eV per atom): 2.67
Space group: P4/mmm
D(E_F) (states/eV per atom): 1.69
Energy relative to the lowest polymorph listed for this composition (meV per atom): 1026.8

Cell: 4.4358 4.4358 4.2547 Å, 90.00 90.00 90.00°
Last column: nearest neighbours and their distance in Å.
Sites, in units of the cell vectors:
1 Hg 0.0000 0.0000 0.0000  2 O 2.13, 4 N 2.22
2 N 0.0000 0.5000 0.0000  2 Hg 2.22
3 N 0.5000 0.0000 0.0000  2 Hg 2.22
4 O 0.0000 0.0000 0.5000  2 Hg 2.13
5 O 0.5000 0.5000 0.5000  8 N 3.07, 4 O 3.14

Crystalline Hg2NO at its relaxed geometry, computed with PBE.

E_form (uncorrected) (eV per atom): 1.15
Space group: Fm-3m
D(E_F) (states/eV per atom): 2.35
Energy relative to the lowest polymorph listed for this composition (meV per atom): 444.0

Cell: 4.3076 4.3076 4.3076 Å, 60.00 60.00 60.00°
Last column: nearest neighbours and their distance in Å.
Sites, in units of the cell vectors:
1 Hg 0.2500 0.2500 0.2500  4 O 2.64, 4 N 2.64
2 Hg 0.7500 0.7500 0.7500  4 O 2.64, 4 N 2.64
3 N 0.0000 0.0000 0.0000  8 Hg 2.64
4 O 0.5000 0.5000 0.5000  8 Hg 2.64

Crystalline HgOsNO2 at its relaxed geometry, computed with PBE.

E_form (uncorrected) (eV per atom): 0.08
Space group: P4/mmm
D(E_F) (states/eV per atom): 0.95

Cell: 3.9766 3.9766 3.8844 Å, 90.00 90.00 90.00°
Last column: nearest neighbours and their distance in Å.
Sites, in units of the cell vectors:
1 Hg 0.0000 0.0000 0.0000  8 O 2.78, 4 N 2.81
2 Os 0.5000 0.5000 0.5000  2 N 1.94, 4 O 1.99
3 N 0.5000 0.5000 0.0000  2 Os 1.94
4 O 0.0000 0.5000 0.5000  2 Os 1.99
5 O 0.5000 0.0000 0.5000  2 Os 1.99

Crystalline HgOsNO2 at its relaxed geometry, computed with PBE.

E_form (uncorrected) (eV per atom): 2.07
Space group: P4/mmm
D(E_F) (states/eV per atom): 0.54

Cell: 4.1097 4.1097 4.2773 Å, 90.00 90.00 90.00°
Last column: nearest neighbours and their distance in Å.
Sites, in units of the cell vectors:
1 Hg 0.0000 0.0000 0.0000  4 O 2.05, 2 N 2.14
2 Os 0.5000 0.5000 0.5000  4 N 2.91, 8 O 2.97
3 N 0.0000 0.0000 0.5000  2 Hg 2.14
4 O 0.0000 0.5000 0.0000  2 Hg 2.05
5 O 0.5000 0.0000 0.0000  2 Hg 2.05

Crystalline HgPN2O at its relaxed geometry, computed with PBE.

E_form (uncorrected) (eV per atom): 0.73
Space group: P4/mmm
D(E_F) (states/eV per atom): 0.64

Cell: 3.7739 3.7739 3.4448 Å, 90.00 90.00 90.00°
Last column: nearest neighbours and their distance in Å.
Sites, in units of the cell vectors:
1 Hg 0.0000 0.0000 0.0000  8 N 2.55, 4 O 2.67
2 P 0.5000 0.5000 0.5000  2 O 1.72, 4 N 1.89
3 N 0.0000 0.5000 0.5000  2 P 1.89
4 N 0.5000 0.0000 0.5000  2 P 1.89
5 O 0.5000 0.5000 0.0000  2 P 1.72

Crystalline HgP2NO at its relaxed geometry, computed with PBE.

E_form (uncorrected) (eV per atom): 1.05
Space group: P4/mmm
D(E_F) (states/eV per atom): 0.49
Energy relative to the lowest polymorph listed for this composition (meV per atom): 0.0

Cell: 4.0780 4.0780 3.9779 Å, 90.00 90.00 90.00°
Last column: nearest neighbours and their distance in Å.
Sites, in units of the cell vectors:
1 Hg 0.0000 0.0000 0.0000  8 P 2.85, 4 O 2.88
2 P 0.0000 0.5000 0.5000  2 N 2.04
3 P 0.5000 0.0000 0.5000  2 N 2.04
4 N 0.5000 0.5000 0.5000  2 O 1.99, 4 P 2.04
5 O 0.5000 0.5000 0.0000  2 N 1.99

Crystalline HgP2NO at its relaxed geometry, computed with PBE.

E_form (uncorrected) (eV per atom): 2.26
Space group: P4/mmm
D(E_F) (states/eV per atom): 0.77
Energy relative to the lowest polymorph listed for this composition (meV per atom): 1214.6

Cell: 4.9838 4.9838 4.0121 Å, 90.00 90.00 90.00°
Last column: nearest neighbours and their distance in Å.
Sites, in units of the cell vectors:
1 Hg 0.0000 0.0000 0.0000  2 O 2.01
2 P 0.0000 0.5000 0.0000  2 Hg 2.49
3 P 0.5000 0.0000 0.0000  2 Hg 2.49
4 N 0.5000 0.5000 0.5000  8 P 3.20, 4 O 3.52
5 O 0.0000 0.0000 0.5000  2 Hg 2.01

Crystalline HgPN2O at its relaxed geometry, computed with PBE.

E_form (uncorrected) (eV per atom): 2.35
Space group: P4/mmm
D(E_F) (states/eV per atom): 0.80

Cell: 4.1510 4.1510 4.1201 Å, 90.00 90.00 90.00°
Last column: nearest neighbours and their distance in Å.
Sites, in units of the cell vectors:
1 Hg 0.0000 0.0000 0.0000  2 O 2.06, 4 N 2.08
2 P 0.5000 0.5000 0.5000  8 N 2.92, 4 O 2.94
3 N 0.0000 0.5000 0.0000  2 Hg 2.08
4 N 0.5000 0.0000 0.0000  2 Hg 2.08
5 O 0.0000 0.0000 0.5000  2 Hg 2.06

Crystalline HgPbN2O at its relaxed geometry, computed with PBE.

E_form (uncorrected) (eV per atom): 1.46
Space group: P4/mmm
D(E_F) (states/eV per atom): 0.62

Cell: 4.5684 4.5684 4.3212 Å, 90.00 90.00 90.00°
Last column: nearest neighbours and their distance in Å.
Sites, in units of the cell vectors:
1 Hg 0.0000 0.0000 0.0000  8 N 3.14, 4 O 3.23
2 Pb 0.5000 0.5000 0.5000  2 O 2.16, 4 N 2.28
3 N 0.0000 0.5000 0.5000  2 Pb 2.28
4 N 0.5000 0.0000 0.5000  2 Pb 2.28
5 O 0.5000 0.5000 0.0000  2 Pb 2.16

Question: Which formula does entry 9 have?
Answer: HgP2NO

Question: Among the records above, which one has the lowest D(E_F)?
Answer: number 3

Question: D(E_F) of number 10 (HgP2NO)?
Answer: 0.77 states/eV per atom

Repeat the twelfth record exactly.
Crystalline HgPbN2O at its relaxed geometry, computed with PBE.

E_form (uncorrected) (eV per atom): 1.46
Space group: P4/mmm
D(E_F) (states/eV per atom): 0.62

Cell: 4.5684 4.5684 4.3212 Å, 90.00 90.00 90.00°
Last column: nearest neighbours and their distance in Å.
Sites, in units of the cell vectors:
1 Hg 0.0000 0.0000 0.0000  8 N 3.14, 4 O 3.23
2 Pb 0.5000 0.5000 0.5000  2 O 2.16, 4 N 2.28
3 N 0.0000 0.5000 0.5000  2 Pb 2.28
4 N 0.5000 0.0000 0.5000  2 Pb 2.28
5 O 0.5000 0.5000 0.0000  2 Pb 2.16